(1)
Here is a crystal of HfHBr3 relaxed with PBEsol from Alexandria via LeMat-Bulk. Energies are from meta-GGA SCAN. Values from VASP.

Geometry as Quantum ESPRESSO input:
```
&SYSTEM
  ibrav = 0, nat = 5, ntyp = 3
/
ATOMIC_SPECIES
Hf 178.49 Hf.upf
H 1.01 H.upf
Br 79.90 Br.upf
ATOMIC_POSITIONS crystal
Hf 0.500 0.500 0.500
H 0.000 0.000 0.000
Br 0.000 0.000 0.500
Br 0.000 0.500 0.000
Br 0.500 0.000 0.000
CELL_PARAMETERS angstrom
-1.814 1.948 -3.617
-3.779 -2.342 0.634
-1.611 3.300 2.585
```

Properties
The crystal system is cubic. The value obtained for the theoretical density is 7.69 g/cm³. Its size of the total moment is 1.2 μB per formula unit. As for the space-group type: Pm-3m (221). The energy comes out at -122.37 eV/cell.



(2)
Here is a crystal of Hg3HBr relaxed with PBEsol from Alexandria via LeMat-Bulk. Energies are from meta-GGA SCAN. Values from VASP.

Geometry as Quantum ESPRESSO input:
```
&SYSTEM
  ibrav = 0, nat = 5, ntyp = 3
/
ATOMIC_SPECIES
Hg 200.59 Hg.upf
Br 79.90 Br.upf
H 1.01 H.upf
ATOMIC_POSITIONS crystal
Hg 0.000 0.500 0.000
Hg 0.500 0.000 0.000
Hg 0.000 0.000 0.500
Br 0.000 0.000 0.000
H 0.500 0.500 0.500
CELL_PARAMETERS angstrom
-4.580 -3.983 -0.247
1.968 -1.927 -5.415
3.472 -4.162 2.743
```

Properties
The crystal system is cubic. The value obtained for the theoretical density is 5.06 g/cm³. Its size of the total moment is 0.7 μB per formula unit. As for the space-group type: Pm-3m (221). The energy comes out at -223.89 eV/cell.



(3)
Here is a crystal of HgH3Br relaxed with PBEsol from Alexandria via LeMat-Bulk. Energies are from meta-GGA SCAN. Values from VASP.

Geometry as Quantum ESPRESSO input:
```
&SYSTEM
  ibrav = 0, nat = 5, ntyp = 3
/
ATOMIC_SPECIES
H 1.01 H.upf
Hg 200.59 Hg.upf
Br 79.90 Br.upf
ATOMIC_POSITIONS crystal
H 0.500 0.000 0.000
H 0.000 0.500 0.000
H 0.000 0.000 0.500
Hg 0.000 0.000 0.000
Br 0.500 0.500 0.500
CELL_PARAMETERS angstrom
-0.205 0.179 3.874
0.997 -3.746 0.226
3.748 1.006 0.151
```

Properties
The crystal system is cubic. The value obtained for the theoretical density is 8.04 g/cm³. Its size of the total moment is 0.0 μB per formula unit. As for the space-group type: Pm-3m (221). The energy comes out at -94.50 eV/cell.



(4)
Here is a crystal of HgH16Br6N4 relaxed with PBEsol from Alexandria via LeMat-Bulk. Energies are from meta-GGA SCAN. Values from VASP.

Geometry as Quantum ESPRESSO input:
```
&SYSTEM
  ibrav = 0, nat = 54, ntyp = 4
/
ATOMIC_SPECIES
Br 79.90 Br.upf
H 1.01 H.upf
N 14.01 N.upf
Hg 200.59 Hg.upf
ATOMIC_POSITIONS crystal
Br 0.500 0.188 0.387
Br 0.500 0.613 0.188
Br 0.000 0.312 0.887
Br 0.704 0.000 0.000
Br 0.500 0.812 0.613
Br 0.796 0.500 0.500
Br 0.296 0.000 0.000
Br 0.500 0.387 0.812
Br 0.000 0.887 0.688
Br 0.000 0.688 0.113
Br 0.204 0.500 0.500
Br 0.000 0.113 0.312
H 0.832 0.644 0.928
H 0.704 0.759 0.856
H 0.204 0.357 0.260
H 0.296 0.143 0.760
H 0.168 0.356 0.072
H 0.332 0.144 0.572
H 0.168 0.071 0.644
H 0.832 0.929 0.356
H 0.796 0.741 0.356
H 0.704 0.857 0.240
H 0.332 0.571 0.856
H 0.204 0.259 0.644
H 0.668 0.856 0.428
H 0.832 0.356 0.072
H 0.832 0.071 0.644
H 0.796 0.643 0.740
H 0.796 0.357 0.260
H 0.332 0.856 0.428
H 0.704 0.241 0.144
H 0.204 0.643 0.740
H 0.796 0.259 0.644
H 0.668 0.571 0.856
H 0.296 0.759 0.856
H 0.332 0.429 0.144
H 0.668 0.429 0.144
H 0.168 0.929 0.356
H 0.296 0.241 0.144
H 0.168 0.644 0.928
H 0.204 0.741 0.356
H 0.296 0.857 0.240
H 0.668 0.144 0.572
H 0.704 0.143 0.760
N 0.750 0.346 0.154
N 0.750 0.846 0.346
N 0.750 0.654 0.846
N 0.250 0.654 0.846
N 0.250 0.346 0.154
N 0.250 0.154 0.654
N 0.250 0.846 0.346
N 0.750 0.154 0.654
Hg 0.500 0.500 0.500
Hg 0.000 0.000 0.000
CELL_PARAMETERS angstrom
9.075 0.000 0.000
0.000 8.931 0.000
0.000 0.000 8.934
```

Properties
The crystal system is orthorhombic. The value obtained for the theoretical density is 3.45 g/cm³. Its size of the total moment is 0.0 μB per formula unit. As for the space-group type: Pnnm (58). The energy comes out at -585.13 eV/cell.



(5)
Here is a crystal of HgHOsBr2 relaxed with PBEsol from Alexandria via LeMat-Bulk. Energies are from meta-GGA SCAN. Values from VASP.

Geometry as Quantum ESPRESSO input:
```
&SYSTEM
  ibrav = 0, nat = 5, ntyp = 4
/
ATOMIC_SPECIES
H 1.01 H.upf
Br 79.90 Br.upf
Hg 200.59 Hg.upf
Os 190.23 Os.upf
ATOMIC_POSITIONS crystal
H 0.000 0.000 0.000
Br 0.000 0.500 0.000
Br 0.000 0.000 0.500
Hg 0.500 0.000 0.000
Os 0.500 0.500 0.500
CELL_PARAMETERS angstrom
-1.725 -1.100 -2.695
-3.134 -2.864 3.175
-3.313 4.115 0.442
```

Properties
The crystal system is tetragonal. The value obtained for the theoretical density is 9.63 g/cm³. Its size of the total moment is 3.3 μB per formula unit. As for the space-group type: P4/mmm (123). The energy comes out at -176.43 eV/cell.



(6)
Here is a crystal of ScHgH2Br relaxed with PBEsol from Alexandria via LeMat-Bulk. Energies are from meta-GGA SCAN. Values from VASP.

Geometry as Quantum ESPRESSO input:
```
&SYSTEM
  ibrav = 0, nat = 5, ntyp = 4
/
ATOMIC_SPECIES
H 1.01 H.upf
Hg 200.59 Hg.upf
Sc 44.96 Sc.upf
Br 79.90 Br.upf
ATOMIC_POSITIONS crystal
H 0.000 0.500 0.000
H 0.500 0.000 0.000
Hg 0.000 0.000 0.500
Sc 0.500 0.500 0.500
Br 0.000 0.000 0.000
CELL_PARAMETERS angstrom
3.929 0.000 0.000
0.000 3.929 0.000
0.000 0.000 6.603
```

Properties
The crystal system is tetragonal. The value obtained for the theoretical density is 5.33 g/cm³. Its size of the total moment is 0.9 μB per formula unit. As for the space-group type: P4/mmm (123). The energy comes out at -105.89 eV/cell.



(7)
Here is a crystal of HgHSe2Br relaxed with PBEsol from Alexandria via LeMat-Bulk. Energies are from meta-GGA SCAN. Values from VASP.

Geometry as Quantum ESPRESSO input:
```
&SYSTEM
  ibrav = 0, nat = 5, ntyp = 4
/
ATOMIC_SPECIES
Se 78.96 Se.upf
Br 79.90 Br.upf
Hg 200.59 Hg.upf
H 1.01 H.upf
ATOMIC_POSITIONS crystal
Se 0.500 0.000 0.000
Se 0.000 0.500 0.000
Br 0.000 0.000 0.500
Hg 0.000 0.000 0.000
H 0.500 0.500 0.500
CELL_PARAMETERS angstrom
-2.935 -3.980 -1.726
2.925 -0.277 -4.336
3.403 -3.605 2.526
```

Properties
The crystal system is tetragonal. The value obtained for the theoretical density is 4.78 g/cm³. Its size of the total moment is 3.7 μB per formula unit. As for the space-group type: P4/mmm (123). The energy comes out at -126.62 eV/cell.



(8)
Here is a crystal of In2HBr relaxed with PBEsol from Alexandria via LeMat-Bulk. Energies are from meta-GGA SCAN. Values from VASP.

Geometry as Quantum ESPRESSO input:
```
&SYSTEM
  ibrav = 0, nat = 8, ntyp = 3
/
ATOMIC_SPECIES
In 114.82 In.upf
H 1.01 H.upf
Br 79.90 Br.upf
ATOMIC_POSITIONS crystal
In 0.125 0.233 0.750
In 0.483 0.875 0.250
In 0.625 0.517 0.750
In 0.767 0.375 0.250
H 0.750 0.250 0.500
H 0.500 0.500 0.000
Br 0.000 0.000 0.000
Br 0.250 0.750 0.500
CELL_PARAMETERS angstrom
-5.533 -4.733 -1.757
3.825 -2.230 -6.041
2.203 1.286 5.563
```

Properties
The crystal system is tetragonal. The value obtained for the theoretical density is 5.99 g/cm³. Its size of the total moment is 0.0 μB per formula unit. As for the space-group type: I-42d (122). The energy comes out at -179.78 eV/cell.